DFT (PBE) results for crystalline LaTbHo at its relaxed geometry.

Values from the calculation:
**Crystal system**: hexagonal
**Spin magnetization**: 0.00 μB/f.u.
**E_form**: 0.249 eV per atom

Unit cell a=8.0886 b=8.0886 c=5.3592 alpha=90.00 beta=90.00 gamma=120.00
Space group P-62m (No. 189)
Unique sites:
La 0.0000 0.0000 0.0000 [1 per cell]
La 0.3333 0.6667 0.5000 [2 per cell]
Tb 0.0000 0.2387 0.5000 [3 per cell]
Ho 0.0000 0.5540 0.0000 [3 per cell]

---

DFT (PBE) results for crystalline KAgN3 at its relaxed geometry.

Values from the calculation:
**Crystal system**: cubic
**Spin magnetization**: 0.00 μB/f.u.
**Formation energy without anion corrections**: 2.214 eV/atom

Unit cell a=4.187 b=4.187 c=4.187 alpha=90.00 beta=90.00 gamma=90.00
Space group Pm-3m (No. 221)
Unique sites:
K 0.000 0.000 0.000 [1 per cell]
Ag 0.500 0.500 0.500 [1 per cell]
N 0.000 0.500 0.500 [3 per cell]

---

Number 1: calculated total energy -4.46 eV/atom. Number 2: calculated total energy -3.57 eV/atom.